Record 1
Material: LiNbH2Ru
Method: DFT, PBE
State: relaxed

Output
Space-group type   P4/mmm, No. 123
D(E_F)   3.78 states/eV/f.u.
Total DFT energy (no corrections)   -4.8893 eV per atom
Density   5.32 g/cm3

Unit cell a=3.6197 b=4.8321 c=3.6197 alpha=90.00 beta=90.00 gamma=90.00
Fractional coordinates of all 5 atoms:
Nb  0.0000  0.5000  0.0000
H  0.5000  0.0000  0.0000
H  0.0000  0.0000  0.5000
Li  0.5000  0.5000  0.5000
Ru  0.0000  0.0000  0.0000

Record 2
Material: LiNbHS
Method: DFT, PBE
State: relaxed

Output
Space-group type   Pmmm, No. 47
D(E_F)   2.11 states/eV/f.u.
ΔE to the lowest computed polymorph   0.211 eV/atom
Density   4.38 g/cm3

Unit cell a=3.1047 b=3.9867 c=4.0710 alpha=90.00 beta=90.00 gamma=90.00
Fractional coordinates of all 4 atoms:
Nb  0.0000  0.5000  0.0000
H  0.0000  0.0000  0.0000
Li  0.0000  0.0000  0.5000
S  0.5000  0.5000  0.5000

Record 3
Material: LiNbHS
Method: DFT, PBE
State: relaxed

Output
Space-group type   P4mm, No. 99
D(E_F)   0.79 states/eV/f.u.
ΔE to the lowest computed polymorph   0.210 eV/atom
Density   4.35 g/cm3

Unit cell a=3.2589 b=3.2589 c=4.7798 alpha=90.00 beta=90.00 gamma=90.00
Fractional coordinates of all 4 atoms:
Nb  0.0000  0.0000  0.7268
Li  0.5000  0.5000  0.2484
H  0.5000  0.5000  0.7243
S  0.0000  0.0000  0.2262

What is the formula in the first record?
LiNbH2Ru

Which formula does entry 1 have?
LiNbH2Ru